No. 1
First-principles (PBE-GGA) data for a relaxed structure of Zr2TeOs, as listed in Alexandria.

abc: 4.819 4.819 4.819
angles: 60.00 60.00 60.00
Fractional positions:
Os: 0.500 0.500 0.500
Te: 0.750 0.750 0.750
Zr: 0.000 0.000 0.000
Zr: 0.250 0.250 0.250

## Properties
- SG: No. 216
- Calculated total energy: -30.90 eV per cell
- Energy relative to the elements, uncorrected: 143 meV per atom

No. 2
First-principles (PBE-GGA) data for a relaxed structure of Li5TmAg6, as listed in Alexandria.

abc: 8.131 4.589 7.279
angles: 70.61 79.13 55.48
Fractional positions:
Li: 0.500 0.160 0.678
Li: 0.000 0.327 0.344
Li: 0.500 0.500 0.000
Li: 0.000 0.673 0.656
Li: 0.500 0.840 0.322
Tm: 0.000 0.000 0.000
Ag: 0.733 0.094 0.347
Ag: 0.267 0.560 0.347
Ag: 0.272 0.227 0.000
Ag: 0.728 0.773 0.000
Ag: 0.733 0.440 0.653
Ag: 0.267 0.906 0.653

## Properties
- SG: No. 2
- Formation energy: -0.2010 eV per atom
- Calculated total energy: -33.56 eV per cell
- Relative energy among the computed polymorphs: 3 meV per atom

No. 3
First-principles (PBE-GGA) data for a relaxed structure of Pm4Te3S2, as listed in Alexandria.

abc: 6.006 9.553 9.553
angles: 77.50 89.08 89.08
Fractional positions:
Pm: 0.479 0.924 0.294
Pm: 0.021 0.706 0.076
Pm: 0.521 0.076 0.706
Pm: 0.979 0.294 0.924
Pm: 0.998 0.209 0.428
Pm: 0.502 0.572 0.791
Pm: 0.002 0.791 0.572
Pm: 0.498 0.428 0.209
Te: 0.978 0.987 0.225
Te: 0.522 0.775 0.013
Te: 0.022 0.013 0.775
Te: 0.478 0.225 0.987
Te: 0.250 0.612 0.388
Te: 0.750 0.388 0.612
S: 0.473 0.176 0.411
S: 0.027 0.589 0.824
S: 0.527 0.824 0.589
S: 0.973 0.411 0.176

## Properties
- SG: No. 15
- Calculated total energy: -101.83 eV per cell
- Relative energy among the computed polymorphs: 79 meV per atom
- Energy relative to the elements, uncorrected: -1582 meV per atom